# 1
A relaxed Pr2CdHg2 crystal. Source: the Alexandria database, functional PBE.

CIF file:
```
data_Pr2CdHg2
_chemical_formula_sum 'Pr4 Cd2 Hg4'
_space_group_name_H-M_alt 'P 1'
_space_group_IT_number 1
_cell_length_a 5.6567
_cell_length_b 10.7403
_cell_length_c 14.5291
_cell_angle_alpha 19.34
_cell_angle_beta 78.77
_cell_angle_gamma 74.73
loop_
_space_group_symop_operation_xyz
'x,y,z'
loop_
_atom_site_label
_atom_site_fract_x
_atom_site_fract_y
_atom_site_fract_z
Pr1 0.3566 0.8237 0.9635
Pr2 0.1438 0.6763 0.5365
Hg1 0.4527 0.9369 0.6572
Pr3 0.6434 0.1763 0.0365
Hg2 0.9532 0.4369 0.1572
Cd1 0.7504 0.2500 0.7500
Pr4 0.8562 0.3237 0.4635
Hg3 0.5473 0.0631 0.3428
Cd2 0.2496 0.7500 0.2500
Hg4 0.0468 0.5631 0.8428
```


# 2
A relaxed PrCdHg4 crystal. Source: the Alexandria database, functional PBE.

CIF file:
```
data_PrCdHg4
_chemical_formula_sum 'Pr2 Cd2 Hg8'
_space_group_name_H-M_alt 'P 1'
_space_group_IT_number 1
_cell_length_a 4.9452
_cell_length_b 8.2727
_cell_length_c 12.4229
_cell_angle_alpha 138.04
_cell_angle_beta 90.00
_cell_angle_gamma 107.39
loop_
_space_group_symop_operation_xyz
'x,y,z'
loop_
_atom_site_label
_atom_site_fract_x
_atom_site_fract_y
_atom_site_fract_z
Pr1 0.7500 0.0000 0.7500
Hg1 0.9982 0.4963 0.1649
Cd1 0.5000 0.5000 0.0000
Hg2 0.0018 0.5037 0.8351
Cd2 0.0000 0.5000 0.5000
Hg3 0.7507 0.0015 0.4227
Hg4 0.4981 0.4963 0.6649
Hg5 0.5019 0.5037 0.3351
Hg6 0.2507 0.0015 0.9227
Pr2 0.2500 0.0000 0.2500
Hg7 0.7493 0.9985 0.0773
Hg8 0.2493 0.9985 0.5773
```


These records have E values of -25.94; -16.79 eV/cell, in the order they appear.
These records have energy relative to the elements values of -379; -249 meV per atom, in the order they appear.
These records have polymorph energy (0 for the lowest one) values of 0.000; 0.000 eV per atom, in the order they appear.